KRbNa3: relaxed, PBE.

Cell and atoms, written as CIF:
```
data_KRbNa3
_cell_length_a 7.9479
_cell_length_b 7.9479
_cell_length_c 29.6220
_cell_angle_alpha 90.00
_cell_angle_beta 90.00
_cell_angle_gamma 120.00
_space_group_name_H-M_alt 'R -3 m'
_space_group_IT_number 166
_space_group_name_Hall '-R 3 2"'
loop_
_atom_site_label
_atom_site_fract_x
_atom_site_fract_y
_atom_site_fract_z
K1 0.0000 0.0000 0.1647
Rb1 0.0000 0.0000 0.4219
Na1 0.0128 0.5064 0.3786
```

Output
excess energy over the best structure of this formula in the dataset	0.000	eV/f.u.
calculated volume	1620.5	Å³/cell
DOS(E_F)	24.208	states/eV per cell
size of the total moment	0.00	Bohr magnetons per cell
ΔH_f (0 K)	0.0307	eV/atom